Entry from Alexandria via LeMat-Bulk: an optimized crystal structure of K3Sn2Hg5 (PBE).

abc: 11.2721 15.4969 7.9241
angles: 90.00 90.00 90.00
Space group Ibam (No. 72)
Asymmetric unit:
K  0.0000  0.0000  0.2500
K  0.2253  0.3740  0.0000
Sn  0.1523  0.1491  0.0000
Hg  0.0000  0.2281  0.2500
Hg  0.0000  0.5000  0.2500
Hg  0.0952  0.3649  0.5000

Properties
Fermi-level density of states = 19.3 states/eV per cell
total magnetization = 0.00 μB per cell
volume = 1384 Å³/cell
calculated total energy = -1.409 eV per atom


Entry from Alexandria via LeMat-Bulk: an optimized crystal structure of KSnHg (PBE).

abc: 5.1846 5.1846 4.0425
angles: 90.00 90.00 120.00
Space group P-6m2 (No. 187)
Asymmetric unit:
K  0.0000  0.0000  0.0000
Sn  0.6667  0.3333  0.5000
Hg  0.3333  0.6667  0.5000

Properties
Fermi-level density of states = 0.9 states/eV per cell
total magnetization = 0.00 μB per cell
volume = 94 Å³/cell
excess energy over the best structure of this formula in the dataset = 0.006 eV per atom
calculated total energy = -2.004 eV per atom


Entry from Alexandria via LeMat-Bulk: an optimized crystal structure of K2SnHg2 (PBE).

abc: 7.8468 7.8468 5.5777
angles: 90.00 90.00 90.00
Space group P4/mbm (No. 127)
Asymmetric unit:
K  0.1777  0.3223  0.0000
Sn  0.0000  0.0000  0.5000
Hg  0.1379  0.6379  0.5000

Properties
Fermi-level density of states = 3.9 states/eV per cell
total magnetization = 0.00 μB per cell
volume = 343 Å³/cell
excess energy over the best structure of this formula in the dataset = 0.067 eV per atom
calculated total energy = -1.552 eV per atom


Number 2 is which compound?
KSnHg


Please write out number 1 again, unchanged.
Entry from Alexandria via LeMat-Bulk: an optimized crystal structure of K3Sn2Hg5 (PBE).

abc: 11.2721 15.4969 7.9241
angles: 90.00 90.00 90.00
Space group Ibam (No. 72)
Asymmetric unit:
K  0.0000  0.0000  0.2500
K  0.2253  0.3740  0.0000
Sn  0.1523  0.1491  0.0000
Hg  0.0000  0.2281  0.2500
Hg  0.0000  0.5000  0.2500
Hg  0.0952  0.3649  0.5000

Properties
Fermi-level density of states = 19.3 states/eV per cell
total magnetization = 0.00 μB per cell
volume = 1384 Å³/cell
calculated total energy = -1.409 eV per atom


Which of these has the highest volume?
K3Sn2Hg5


Among the records above, which one has the highest calculated total energy?
K3Sn2Hg5